# 1
Here is a relaxed structure of NdAsPd6 from Alexandria via LeMat-Bulk. Energies are from PBE.

The space group is R-3m (No. 166, hexagonal axes) and the conventional cell measures 5.6114, 5.6114 and 18.3061 Å, with angles of 90.00, 90.00 and 120.00 degrees. The asymmetric unit holds Nd at (0.0000, 0.0000, 0.0000), As at (0.0000, 0.0000, 0.5000) and Pd at (0.0116, 0.5058, 0.9266).

The value obtained for the theoretical density is 8.56 Mg/m³. The value obtained for the energy relative to the elements is -2.652 eV per formula unit.

=====

# 2
Here is a relaxed structure of LiPaGe from Alexandria via LeMat-Bulk. Energies are from PBE.

The space group is I4/mmm (No. 139) and the conventional cell measures 3.081, 3.081 and 23.677 Å, with angles of 90.00, 90.00 and 90.00 degrees. The asymmetric unit holds Li at (0.000, 0.000, 0.214), Pa at (0.000, 0.000, 0.057) and Ge at (0.000, 0.000, 0.349).

The value obtained for the theoretical density is 9.18 Mg/m³. The value obtained for the energy relative to the elements is -0.378 eV per formula unit. The value obtained for the distance to the lowest polymorph of the same formula is 0.69 eV/f.u.

=====

# 3
Here is a relaxed structure of Pr5NdY2Tm from Alexandria via LeMat-Bulk. Energies are from PBE.

The space group is I4/mcm (No. 140) and the conventional cell measures 9.569, 9.569 and 14.057 Å, with angles of 90.00, 90.00 and 90.00 degrees. The asymmetric unit holds Pr at (0.000, 0.000, 0.000), Pr at (0.202, 0.298, 0.133), Nd at (0.000, 0.000, 0.250), Y at (0.108, 0.392, 0.500) and Tm at (0.000, 0.500, 0.250).

The value obtained for the theoretical density is 6.17 Mg/m³. The value obtained for the energy relative to the elements is 2.710 eV per formula unit.

=====

# 4
Here is a relaxed structure of SiPRh2 from Alexandria via LeMat-Bulk. Energies are from PBE.

The space group is I-42d (No. 122) and the conventional cell measures 5.283, 5.283 and 10.575 Å, with angles of 90.00, 90.00 and 90.00 degrees. The asymmetric unit holds Si at (0.000, 0.000, 0.000), P at (0.000, 0.000, 0.500) and Rh at (0.239, 0.250, 0.625).

The value obtained for the theoretical density is 5.96 Mg/m³. As for the energy relative to the elements, uncorrected: -339 meV/atom.

=====

# 5
Here is a relaxed structure of PmGd2Rh from Alexandria via LeMat-Bulk. Energies are from PBE.

The space group is R-3m (No. 166, hexagonal axes) and the conventional cell measures 4.7299, 4.7299 and 16.8951 Å, with angles of 90.00, 90.00 and 120.00 degrees. The asymmetric unit holds Pm at (0.0000, 0.0000, 0.0000), Gd at (0.0000, 0.0000, 0.2244) and Rh at (0.0000, 0.0000, 0.5000).

The value obtained for the theoretical density is 8.56 Mg/m³. The value obtained for the energy relative to the elements is -0.500 eV per formula unit. The value obtained for the distance to the lowest polymorph of the same formula is 1.00 eV/f.u.

=====

# 6
Here is a relaxed structure of Zr2CrPI from Alexandria via LeMat-Bulk. Energies are from PBE.

The space group is P4/mmm (No. 123) and the conventional cell measures 4.998, 4.998 and 4.601 Å, with angles of 90.00, 90.00 and 90.00 degrees. The asymmetric unit holds Zr at (0.000, 0.500, 0.000), Cr at (0.000, 0.000, 0.000), P at (0.500, 0.500, 0.500) and I at (0.000, 0.000, 0.500).

The value obtained for the theoretical density is 5.67 Mg/m³. As for the energy relative to the elements, uncorrected: 694 meV/atom.

=====

# 7
Here is a relaxed structure of HfGe3S from Alexandria via LeMat-Bulk. Energies are from PBE.

The space group is Pm-3m (No. 221) and the conventional cell measures 5.205, 5.205 and 5.205 Å, with angles of 90.00, 90.00 and 90.00 degrees. The asymmetric unit holds Hf at (0.000, 0.000, 0.000), Ge at (0.000, 0.000, 0.500) and S at (0.500, 0.500, 0.500).

The value obtained for the theoretical density is 5.05 Mg/m³. The value obtained for the distance to the lowest polymorph of the same formula is 0.98 eV/f.u. As for the energy relative to the elements, uncorrected: 784 meV/atom.

=====

# 8
Here is a relaxed structure of ZrCd2Hg from Alexandria via LeMat-Bulk. Energies are from PBE.

The space group is P4/mmm (No. 123) and the conventional cell measures 3.237, 3.237 and 8.421 Å, with angles of 90.00, 90.00 and 90.00 degrees. The asymmetric unit holds Zr at (0.000, 0.000, 0.000), Cd at (0.500, 0.500, 0.251) and Hg at (0.000, 0.000, 0.500).

The value obtained for the theoretical density is 9.72 Mg/m³. The value obtained for the energy relative to the elements is -0.163 eV per formula unit.